Li2CrP | PBE-GGA | relaxed

abc: 5.9440 5.9440 5.9440
angles: 90.00 90.00 90.00
Last column: nearest neighbours and their distance in Å.
Space group F-43m (No. 216)
Symmetry-distinct sites (fractional):
Li (0.0000, 0.0000, 0.0000)  4 Cr 2.57, 4 Li 2.57
Li (0.2500, 0.2500, 0.2500)  4 Li 2.57, 4 P 2.57
Cr (0.2500, 0.2500, 0.7500)  4 Li 2.57, 4 P 2.57
P (0.0000, 0.0000, 0.5000)  4 Li 2.57, 4 Cr 2.57

Calculated values
For the density of states at the Fermi level, the calculation gives 2.135 states/eV/f.u. The calculation puts the calculated total energy at -19.7 eV per formula unit.